Entry 1:
Crystalline MgInPb2 at its relaxed geometry. Source: Alexandria via LeMat-Bulk, functional GGA-PBE.

Output
- energy of formation from the pure elements (meV/atom) = -1
- total moment (μB/cell) = 0.00

abc: 5.9926 5.9926 5.9926
angles: 133.20 133.20 68.35
Positions (direct):
Pb  0.0000  0.0000  0.0000
Pb  0.2500  0.7500  0.5000
Mg  0.7500  0.2500  0.5000
In  0.5000  0.5000  0.0000

=====

Entry 2:
Crystalline Pr3Sm3HoTe8 at its relaxed geometry. Source: Alexandria via LeMat-Bulk, functional GGA-PBE.

Output
- energy relative to the elements, uncorrected (eV/atom) = -1.44
- total moment (μB/cell) = 0.00

abc: 8.9153 8.9150 8.9505
angles: 119.87 90.00 120.00
Positions (direct):
Pr  0.0000  0.0000  0.0000
Pr  0.0000  0.5000  0.0000
Pr  0.5000  0.5000  0.0000
Sm  0.5000  0.0000  0.5000
Sm  0.5000  0.5000  0.5000
Sm  0.0000  0.5000  0.5000
Ho  0.0000  0.0000  0.5000
Te  0.2522  0.5044  0.2566
Te  0.7478  0.4956  0.7434
Te  0.7511  0.5023  0.2555
Te  0.2489  0.4977  0.7445
Te  0.7511  0.0044  0.2555
Te  0.2489  0.9956  0.7445
Te  0.2532  0.0044  0.2555
Te  0.7468  0.9956  0.7445

=====

Entry 3:
Crystalline In3WS at its relaxed geometry. Source: Alexandria via LeMat-Bulk, functional GGA-PBE.

Output
- energy relative to the elements, uncorrected (eV/atom) = 1.34
- total moment (μB/cell) = 0.00
- E above lowest polymorph (meV per atom) = 404

abc: 5.0061 5.0061 5.0061
angles: 90.00 90.00 90.00
Positions (direct):
S  0.0000  0.0000  0.0000
W  0.5000  0.5000  0.5000
In  0.0000  0.5000  0.0000
In  0.0000  0.0000  0.5000
In  0.5000  0.0000  0.0000

=====

Entry 4:
Crystalline TlHI2O at its relaxed geometry. Source: Alexandria via LeMat-Bulk, functional GGA-PBE.

Output
- total moment (μB/cell) = 0.00
- E above lowest polymorph (meV per atom) = 134

abc: 4.5049 4.5049 6.6583
angles: 90.00 90.00 90.00
Positions (direct):
I  0.0000  0.5000  0.0000
I  0.5000  0.0000  0.0000
H  0.0000  0.0000  0.0000
Tl  0.5000  0.5000  0.5000
O  0.0000  0.0000  0.5000

=====

Entry 5:
Crystalline CaIn2Te at its relaxed geometry. Source: Alexandria via LeMat-Bulk, functional GGA-PBE.

Output
- energy relative to the elements, uncorrected (eV/atom) = -0.54
- total moment (μB/cell) = 0.00

abc: 4.2549 4.1442 8.1064
angles: 59.60 90.00 90.00
Positions (direct):
Ca  0.5000  0.7961  0.7025
Te  0.0000  0.4323  0.5648
In  0.0000  0.9854  0.0154
In  0.5000  0.2863  0.2173

=====

Entry 6:
Crystalline ErInHg6 at its relaxed geometry. Source: Alexandria via LeMat-Bulk, functional GGA-PBE.

Output
- energy of formation from the pure elements (meV/atom) = -146
- total moment (μB/cell) = 0.00
- E above lowest polymorph (meV per atom) = 0

abc: 4.7912 4.7912 8.6088
angles: 90.00 90.00 90.00
Positions (direct):
Er  0.0000  0.0000  0.5000
In  0.0000  0.0000  0.0000
Hg  0.5000  0.5000  0.0000
Hg  0.5000  0.5000  0.5000
Hg  0.5000  0.0000  0.2525
Hg  0.5000  0.0000  0.7475
Hg  0.0000  0.5000  0.2525
Hg  0.0000  0.5000  0.7475

=====

Entry 7:
Crystalline Ti2NbV at its relaxed geometry. Source: Alexandria via LeMat-Bulk, functional GGA-PBE.

Output
- energy of formation from the pure elements (meV/atom) = 100
- total moment (μB/cell) = 2.38
- E above lowest polymorph (meV per atom) = 13

abc: 4.5480 4.5480 4.5480
angles: 60.00 60.00 60.00
Positions (direct):
Nb  0.5000  0.5000  0.5000
Ti  0.2500  0.2500  0.2500
Ti  0.7500  0.7500  0.7500
V  0.0000  0.0000  0.0000

=====

Entry 8:
Crystalline Dy4Mg at its relaxed geometry. Source: Alexandria via LeMat-Bulk, functional GGA-PBE.

Output
- energy of formation from the pure elements (meV/atom) = 600
- total moment (μB/cell) = 0.00
- E above lowest polymorph (meV per atom) = 617

abc: 5.5880 5.5880 5.5880
angles: 90.00 90.00 90.00
Positions (direct):
Mg  0.5000  0.5000  0.5000
Dy  0.0000  0.0000  0.0000
Dy  0.5000  0.0000  0.5000
Dy  0.0000  0.5000  0.5000
Dy  0.5000  0.5000  0.0000